No. 1
Density functional theory data (PBE) for crystalline CdCo2Cl at its relaxed geometry.

```
data_CdCo2Cl
_chemical_formula_sum 'Cd1 Co2 Cl1'
_cell_length_a 5.0451
_cell_length_b 5.0451
_cell_length_c 7.5695
_cell_angle_alpha 50.26
_cell_angle_beta 50.26
_cell_angle_gamma 34.78
_space_group_name_H-M_alt 'P 1'
_space_group_IT_number 1
loop_
_space_group_symop_operation_xyz
'x,y,z'
loop_
_atom_site_label
_atom_site_type_symbol
_atom_site_fract_x
_atom_site_fract_y
_atom_site_fract_z
_atom_site_occupancy
Cl1 Cl 0.2500 0.2500 0.2500 1
Co1 Co 0.5563 0.5563 0.6049 1
Co2 Co 0.9437 0.9437 0.8951 1
Cd1 Cd 0.7500 0.7500 0.7500 1
```

Properties
SG = C2/m
N(E_F) = 0.910 states/eV per atom
E = -4.03 eV per atom
energy above the lowest structure with this stoichiometry = 0.40 eV per formula unit
volume = 20.4 Å³/atom
E_form (uncorrected) = 213 meV per atom

No. 2
Density functional theory data (PBE) for crystalline Cd2CoCl at its relaxed geometry.

```
data_Cd2CoCl
_chemical_formula_sum 'Cd2 Co1 Cl1'
_cell_length_a 3.1598
_cell_length_b 3.1598
_cell_length_c 9.6173
_cell_angle_alpha 90.00
_cell_angle_beta 90.00
_cell_angle_gamma 120.82
_space_group_name_H-M_alt 'P 1'
_space_group_IT_number 1
loop_
_space_group_symop_operation_xyz
'x,y,z'
loop_
_atom_site_label
_atom_site_type_symbol
_atom_site_fract_x
_atom_site_fract_y
_atom_site_fract_z
_atom_site_occupancy
Cd1 Cd 0.5000 0.5000 0.2421 1
Cd2 Cd 0.0000 0.0000 0.9604 1
Cl1 Cl 0.0000 0.0000 0.5651 1
Co1 Co 0.5000 0.5000 0.7324 1
```

Properties
SG = Cmm2
N(E_F) = 1.028 states/eV per atom
E = -2.58 eV per atom
energy above the lowest structure with this stoichiometry = 0.50 eV per formula unit
volume = 20.6 Å³/atom
E_form (uncorrected) = 116 meV per atom

No. 3
Density functional theory data (PBE) for crystalline CdCo2Cl at its relaxed geometry.

```
data_CdCo2Cl
_chemical_formula_sum 'Cd1 Co2 Cl1'
_cell_length_a 4.4906
_cell_length_b 4.4906
_cell_length_c 4.4906
_cell_angle_alpha 60.00
_cell_angle_beta 60.00
_cell_angle_gamma 60.00
_space_group_name_H-M_alt 'P 1'
_space_group_IT_number 1
loop_
_space_group_symop_operation_xyz
'x,y,z'
loop_
_atom_site_label
_atom_site_type_symbol
_atom_site_fract_x
_atom_site_fract_y
_atom_site_fract_z
_atom_site_occupancy
Cl1 Cl 0.2500 0.2500 0.2500 1
Co1 Co 0.0000 0.0000 0.0000 1
Co2 Co 0.7500 0.7500 0.7500 1
Cd1 Cd 0.5000 0.5000 0.5000 1
```

Properties
SG = F-43m
N(E_F) = 1.461 states/eV per atom
E = -3.46 eV per atom
energy above the lowest structure with this stoichiometry = 2.67 eV per formula unit
volume = 16.0 Å³/atom
E_form (uncorrected) = 781 meV per atom

No. 4
Density functional theory data (PBE) for crystalline CdCo2Cl at its relaxed geometry.

```
data_CdCo2Cl
_chemical_formula_sum 'Cd1 Co2 Cl1'
_cell_length_a 4.2377
_cell_length_b 3.9222
_cell_length_c 3.9222
_cell_angle_alpha 90.00
_cell_angle_beta 90.00
_cell_angle_gamma 90.00
_space_group_name_H-M_alt 'P 1'
_space_group_IT_number 1
loop_
_space_group_symop_operation_xyz
'x,y,z'
loop_
_atom_site_label
_atom_site_type_symbol
_atom_site_fract_x
_atom_site_fract_y
_atom_site_fract_z
_atom_site_occupancy
Cd1 Cd 0.5000 0.5000 0.0000 1
Cl1 Cl 0.5000 0.0000 0.5000 1
Co1 Co 0.0000 0.5000 0.5000 1
Co2 Co 0.0000 0.0000 0.0000 1
```

Properties
SG = P4/mmm
N(E_F) = 0.740 states/eV per atom
E = -3.56 eV per atom
energy above the lowest structure with this stoichiometry = 2.29 eV per formula unit
volume = 16.3 Å³/atom
E_form (uncorrected) = 687 meV per atom

No. 5
Density functional theory data (PBE) for crystalline Cd2CoCl at its relaxed geometry.

```
data_Cd2CoCl
_chemical_formula_sum 'Cd2 Co1 Cl1'
_cell_length_a 6.6172
_cell_length_b 5.0774
_cell_length_c 3.1800
_cell_angle_alpha 89.98
_cell_angle_beta 61.31
_cell_angle_gamma 120.08
_space_group_name_H-M_alt 'P 1'
_space_group_IT_number 1
loop_
_space_group_symop_operation_xyz
'x,y,z'
loop_
_atom_site_label
_atom_site_type_symbol
_atom_site_fract_x
_atom_site_fract_y
_atom_site_fract_z
_atom_site_occupancy
Cl1 Cl 0.0000 0.5000 0.5000 1
Cd1 Cd 0.0000 0.0000 0.0000 1
Cd2 Cd 0.5000 0.0000 0.5000 1
Co1 Co 0.5000 0.5000 0.0000 1
```

Properties
SG = Cmmm
N(E_F) = 0.339 states/eV per atom
E = -2.52 eV per atom
energy above the lowest structure with this stoichiometry = 0.74 eV per formula unit
volume = 19.2 Å³/atom
E_form (uncorrected) = 176 meV per atom

No. 6
Density functional theory data (PBE) for crystalline CdCo2Cl at its relaxed geometry.

```
data_CdCo2Cl
_chemical_formula_sum 'Cd1 Co2 Cl1'
_cell_length_a 2.9757
_cell_length_b 3.0198
_cell_length_c 7.4237
_cell_angle_alpha 90.23
_cell_angle_beta 90.00
_cell_angle_gamma 90.00
_space_group_name_H-M_alt 'P 1'
_space_group_IT_number 1
loop_
_space_group_symop_operation_xyz
'x,y,z'
loop_
_atom_site_label
_atom_site_type_symbol
_atom_site_fract_x
_atom_site_fract_y
_atom_site_fract_z
_atom_site_occupancy
Cd1 Cd 0.0000 0.7542 0.4490 1
Cl1 Cl 0.5000 0.7453 0.7993 1
Co1 Co 0.5000 0.2511 0.2094 1
Co2 Co 0.0000 0.7494 0.0422 1
```

Properties
SG = Pm
N(E_F) = 0.841 states/eV per atom
E = -4.13 eV per atom
energy above the lowest structure with this stoichiometry = 0.00 eV per formula unit
volume = 16.7 Å³/atom
E_form (uncorrected) = 114 meV per atom